No. 1
DFT (GGA-PBE) results for a relaxed structure of MnCo3N3.

Cell lengths 5.9891, 3.7938, 6.4394 Å; angles 90.00, 112.74, 90.00 degrees
With the nearest neighbours (Å) after each atom.
Space group P2_1/m (No. 11)
Symmetry-distinct sites (fractional):
Mn: 0.1161 0.2500 0.3402 [2 per cell]  3 N 1.77-1.83
Co: 0.2191 0.2500 0.8363 [2 per cell]  4 N 1.88-1.98
Co: 0.3274 0.7500 0.1305 [2 per cell]  4 N 1.93-2.01
Co: 0.4150 0.7500 0.6251 [2 per cell]  4 N 1.91-2.01
N: 0.2139 0.7500 0.7939 [2 per cell]  1 Mn 1.83, 4 Co 1.91-2.01
N: 0.2479 0.2500 0.1371 [2 per cell]  1 Mn 1.77, 3 Co 1.88-1.96
N: 0.3697 0.2500 0.6117 [2 per cell]  1 Mn 1.82, 4 Co 1.91-1.98

Values from the calculation:
The calculation puts the uncorrected formation energy at 0.156 eV/atom.

No. 2
DFT (GGA-PBE) results for a relaxed structure of Pu3Ga4Pd2.

Cell lengths 10.1533, 4.7595, 8.7272 Å; angles 90.00, 125.25, 90.00 degrees
With the nearest neighbours (Å) after each atom.
Space group C2/m (No. 12)
Symmetry-distinct sites (fractional):
Pu: 0.0000 0.0000 0.0000 [2 per cell]  2 Pu 2.94, 8 Ga 3.06-3.21, 4 Pd 3.11
Pu: 0.1626 0.5000 0.6692 [4 per cell]  2 Pu 2.89-2.94, 8 Ga 3.05-3.16, 4 Pd 3.08-3.14
Ga: 0.0710 0.0000 0.3988 [4 per cell]  3 Pd 2.73-2.79, 1 Ga 2.85
Ga: 0.2094 0.5000 0.0473 [4 per cell]  2 Pd 2.71-2.84, 2 Ga 2.80
Pd: 0.1133 0.5000 0.2794 [4 per cell]  5 Ga 2.71-2.84

Values from the calculation:
The calculation puts the energy relative to the lowest polymorph listed for this composition at 0 meV per atom.

No. 3
DFT (GGA-PBE) results for a relaxed structure of TiNbTcSb2.

Cell lengths 5.1620, 5.1620, 4.5818 Å; angles 90.00, 90.00, 90.00 degrees
With the nearest neighbours (Å) after each atom.
Space group P4/mmm (No. 123)
Symmetry-distinct sites (fractional):
Ti: 0.0000 0.0000 0.0000 [1 per cell]  2 Nb 2.29
Nb: 0.0000 0.0000 0.5000 [1 per cell]  2 Ti 2.29
Tc: 0.5000 0.5000 0.5000 [1 per cell]  8 Sb 3.45, 4 Nb 3.65
Sb: 0.0000 0.5000 0.0000 [2 per cell]  2 Ti 2.58

Values from the calculation:
The calculation puts the uncorrected formation energy at 1.205 eV/atom.

No. 4
DFT (GGA-PBE) results for a relaxed structure of Ac4Pr4Nd.

Cell lengths 11.4789, 11.4789, 5.4547 Å; angles 90.00, 90.00, 90.00 degrees
With the nearest neighbours (Å) after each atom.
Space group I4/mmm (No. 139)
Symmetry-distinct sites (fractional):
Ac: 0.0000 0.3269 0.0000 [8 per cell]  1 Nd 3.75, 6 Pr 3.80-3.86, 5 Ac 3.92-3.97
Pr: 0.1635 0.1635 0.5000 [8 per cell]  4 Pr 3.75-3.91, 6 Ac 3.80-3.86, 2 Nd 3.81
Nd: 0.0000 0.0000 0.0000 [2 per cell]  4 Ac 3.75, 8 Pr 3.81

Values from the calculation:
The calculation puts the energy relative to the lowest polymorph listed for this composition at 0 meV per atom.

No. 5
DFT (GGA-PBE) results for a relaxed structure of NiC2.

Cell lengths 5.4214, 5.4214, 2.8345 Å; angles 90.00, 90.00, 120.00 degrees
With the nearest neighbours (Å) after each atom.
Space group P-62m (No. 189)
Symmetry-distinct sites (fractional):
Ni: 0.0000 0.0000 0.0000 [1 per cell]  9 C 2.00-2.02
Ni: 0.3333 0.6667 0.5000 [2 per cell]  9 C 2.02-2.23
C: 0.0000 0.2653 0.5000 [3 per cell]  4 Ni 2.02
C: 0.0000 0.6308 0.0000 [3 per cell]  5 Ni 2.00-2.23

Values from the calculation:
The calculation puts the energy relative to the lowest polymorph listed for this composition at 1743 meV per atom.

No. 6
DFT (GGA-PBE) results for a relaxed structure of BeZn2Ga.

Cell lengths 2.7836, 2.7836, 25.2277 Å; angles 90.00, 90.00, 120.00 degrees
With the nearest neighbours (Å) after each atom.
Space group R3m (No. 160, hexagonal axes)
Symmetry-distinct sites (fractional):
Be: 0.0000 0.0000 0.0000 [3 per cell]  6 Zn 2.44-2.45
Zn: 0.0000 0.0000 0.5936 [3 per cell]  3 Be 2.45
Zn: 0.0000 0.0000 0.7396 [3 per cell]  3 Be 2.44
Ga: 0.0000 0.0000 0.1663 [3 per cell]  6 Ga 2.78, 6 Zn 2.85-2.86

No. 7
DFT (GGA-PBE) results for a relaxed structure of GdDyPuZn.

Cell lengths 7.4978, 7.4978, 7.4978 Å; angles 90.00, 90.00, 90.00 degrees
With the nearest neighbours (Å) after each atom.
Space group F-43m (No. 216)
Symmetry-distinct sites (fractional):
Gd: 0.0000 0.0000 0.0000 [4 per cell]  4 Pu 3.25, 4 Zn 3.25
Dy: 0.0000 0.0000 0.5000 [4 per cell]  4 Pu 3.25, 4 Zn 3.25
Pu: 0.2500 0.2500 0.7500 [4 per cell]  4 Gd 3.25, 4 Dy 3.25
Zn: 0.2500 0.2500 0.2500 [4 per cell]  4 Gd 3.25, 4 Dy 3.25

No. 8
DFT (GGA-PBE) results for a relaxed structure of Nb2CdH.

Cell lengths 5.7992, 5.7992, 8.1858 Å; angles 90.00, 90.00, 90.00 degrees
With the nearest neighbours (Å) after each atom.
Space group I4_1/amd (No. 141, origin choice 2)
Symmetry-distinct sites (fractional):
Nb: 0.0000 0.0000 0.0000 [8 per cell]  2 H 1.77
Cd: 0.0000 0.2500 0.3750 [4 per cell]  12 Nb 3.39-3.40, 4 Cd 3.55, 4 H 3.55
H: 0.0000 0.2500 0.8750 [4 per cell]  4 Nb 1.77

Values from the calculation:
The calculation puts the energy relative to the lowest polymorph listed for this composition at 75 meV per atom.

No. 9
DFT (GGA-PBE) results for a relaxed structure of Na3PbF6.

Cell lengths 5.9204, 6.0323, 10.3309 Å; angles 90.00, 123.62, 90.00 degrees
With the nearest neighbours (Å) after each atom.
Space group P2_1/c (No. 14)
Symmetry-distinct sites (fractional):
Na: 0.0000 0.0000 0.0000 [2 per cell]  6 F 2.24-2.46
Na: 0.2193 0.0496 0.7264 [4 per cell]  4 F 2.29-2.35
Pb: 0.5000 0.0000 0.5000 [2 per cell]  6 F 2.26-2.28
F: 0.1247 0.1756 0.4524 [4 per cell]  2 Na 2.24-2.29, 1 Pb 2.26
F: 0.2243 0.6963 0.4042 [4 per cell]  1 Pb 2.28, 2 Na 2.35-2.37
F: 0.3976 0.0927 0.2593 [4 per cell]  1 Pb 2.28, 3 Na 2.34-2.46

Values from the calculation:
The calculation puts the uncorrected formation energy at -2.468 eV/atom.

No. 10
DFT (GGA-PBE) results for a relaxed structure of InIr2Se.

Cell lengths 3.1254, 4.7313, 4.7509 Å; angles 90.00, 90.00, 90.00 degrees
With the nearest neighbours (Å) after each atom.
Space group Pmm2 (No. 25)
Symmetry-distinct sites (fractional):
In: 0.0000 0.0000 0.0000 [1 per cell]  6 Ir 2.80-2.86, 2 In 3.13
Ir: 0.0000 0.5000 0.6847 [1 per cell]  2 Se 2.45
Ir: 0.5000 0.0000 0.5051 [1 per cell]  2 Se 2.58, 4 In 2.82-2.86
Se: 0.5000 0.5000 0.2873 [1 per cell]  4 Ir 2.45-2.58

Values from the calculation:
The calculation puts the uncorrected formation energy at 0.167 eV/atom. The calculation puts the energy relative to the lowest polymorph listed for this composition at 0 meV per atom.

No. 11
DFT (GGA-PBE) results for a relaxed structure of ScRh2W.

Cell lengths 2.9186, 2.9186, 7.4609 Å; angles 90.00, 90.00, 90.00 degrees
With the nearest neighbours (Å) after each atom.
Space group P4/mmm (No. 123)
Symmetry-distinct sites (fractional):
Sc: 0.0000 0.0000 0.0000 [1 per cell]  8 Rh 2.83, 4 Sc 2.92
Rh: 0.5000 0.5000 0.2598 [2 per cell]  4 W 2.73, 4 Sc 2.83, 4 Rh 2.92
W: 0.0000 0.0000 0.5000 [1 per cell]  8 Rh 2.73, 4 W 2.92

Values from the calculation:
The calculation puts the energy relative to the lowest polymorph listed for this composition at 0 meV per atom.

No. 12
DFT (GGA-PBE) results for a relaxed structure of TbPm2Ho.

Cell lengths 3.6033, 5.0553, 7.2053 Å; angles 90.00, 90.00, 90.00 degrees
With the nearest neighbours (Å) after each atom.
Space group Pmmm (No. 47)
Symmetry-distinct sites (fractional):
Tb: 0.0000 0.0000 0.0000 [1 per cell]  8 Pm 3.59, 2 Ho 3.60, 2 Tb 3.60
Pm: 0.5000 0.5000 0.2505 [2 per cell]  4 Ho 3.59, 4 Tb 3.59, 4 Pm 3.60-3.61
Ho: 0.0000 0.0000 0.5000 [1 per cell]  8 Pm 3.59, 2 Tb 3.60, 2 Ho 3.60

Values from the calculation:
The calculation puts the energy relative to the lowest polymorph listed for this composition at 2 meV per atom.

No. 13
DFT (GGA-PBE) results for a relaxed structure of ZnGaAgGe.

Cell lengths 6.6270, 6.6270, 6.6270 Å; angles 90.00, 90.00, 90.00 degrees
With the nearest neighbours (Å) after each atom.
Space group F-43m (No. 216)
Symmetry-distinct sites (fractional):
Zn: 0.0000 0.0000 0.0000 [4 per cell]  4 Ge 2.87, 4 Ga 2.87
Ga: 0.2500 0.2500 0.7500 [4 per cell]  4 Zn 2.87, 4 Ag 2.87
Ag: 0.0000 0.0000 0.5000 [4 per cell]  4 Ge 2.87, 4 Ga 2.87
Ge: 0.2500 0.2500 0.2500 [4 per cell]  4 Zn 2.87, 4 Ag 2.87

No. 14
DFT (GGA-PBE) results for a relaxed structure of Li2MgBe.

Cell lengths 10.3819, 3.0122, 4.4564 Å; angles 90.00, 115.05, 90.00 degrees
With the nearest neighbours (Å) after each atom.
Space group C2/m (No. 12)
Symmetry-distinct sites (fractional):
Li: 0.2228 0.0000 0.2229 [4 per cell]  2 Be 2.58, 4 Li 2.74
Mg: 0.0000 0.0000 0.5000 [2 per cell]  4 Be 2.69, 4 Li 3.01, 2 Mg 3.01
Be: 0.0000 0.5000 0.0000 [2 per cell]  4 Li 2.58, 4 Mg 2.69

Values from the calculation:
The calculation puts the energy relative to the lowest polymorph listed for this composition at 4 meV per atom.

No. 15
DFT (GGA-PBE) results for a relaxed structure of CaAgP4.

Cell lengths 7.5563, 7.5563, 7.5563 Å; angles 90.00, 90.00, 90.00 degrees
With the nearest neighbours (Å) after each atom.
Space group F-43m (No. 216)
Symmetry-distinct sites (fractional):
Ca: 0.0000 0.0000 0.0000 [4 per cell]  12 P 3.16, 4 Ag 3.27
Ag: 0.2500 0.2500 0.2500 [4 per cell]  12 P 3.11, 4 Ca 3.27
P: 0.1138 0.1138 0.6138 [16 per cell]  3 P 2.43

No. 16
DFT (GGA-PBE) results for a relaxed structure of NaLi2NpF6.

Cell lengths 5.4395, 5.4733, 5.4771 Å; angles 119.47, 91.02, 119.03 degrees
With the nearest neighbours (Å) after each atom.
Space group P1 (No. 1)
Symmetry-distinct sites (fractional):
Na: 0.0000 0.0000 0.0000 [1 per cell]  5 F 2.29-2.46
Li: 0.2456 0.4963 0.7317 [1 per cell]  6 F 1.95-2.05
Li: 0.7499 0.5038 0.2354 [1 per cell]  6 F 1.95-2.05
Np: 0.5159 0.0003 0.4633 [1 per cell]  6 F 2.30-2.47
F: 0.0645 0.6223 0.0555 [1 per cell]  2 Li 1.98-2.03
F: 0.4409 0.3786 0.4320 [1 per cell]  2 Li 1.98-2.03
F: 0.4917 0.0002 0.8823 [1 per cell]  2 Li 2.05
F: 0.5484 0.6040 0.0353 [1 per cell]  2 Li 1.95-1.96
F: 0.9427 0.3961 0.4331 [1 per cell]  2 Li 1.95-1.96
F: 0.9550 0.9999 0.5836 [1 per cell]  2 Li 2.04

Values from the calculation:
The calculation puts the uncorrected formation energy at -3.058 eV/atom.

No. 17
DFT (GGA-PBE) results for a relaxed structure of KY2Ag.

Cell lengths 3.7952, 5.6570, 5.8028 Å; angles 90.00, 90.00, 90.00 degrees
With the nearest neighbours (Å) after each atom.
Space group Pmmm (No. 47)
Symmetry-distinct sites (fractional):
K: 0.0000 0.0000 0.0000 [1 per cell]  4 Ag 3.41, 4 Y 3.47, 2 K 3.80
Y: 0.0000 0.5000 0.5000 [1 per cell]  6 Y 3.41-3.80, 4 Ag 3.47
Y: 0.5000 0.0000 0.5000 [1 per cell]  6 Y 3.41-3.80, 4 K 3.47
Ag: 0.5000 0.5000 0.0000 [1 per cell]  4 K 3.41, 4 Y 3.47, 2 Ag 3.80

No. 18
DFT (GGA-PBE) results for a relaxed structure of La8Pm2Tm.

Cell lengths 5.7969, 8.2989, 16.5732 Å; angles 90.00, 90.00, 90.00 degrees
With the nearest neighbours (Å) after each atom.
Space group Immm (No. 71)
Symmetry-distinct sites (fractional):
La: 0.0000 0.0000 0.1597 [4 per cell]  8 La 3.58-3.84, 2 Pm 3.69, 2 Tm 3.92
La: 0.0000 0.2011 0.3658 [8 per cell]  1 Tm 3.33, 3 La 3.34-3.65, 3 Pm 3.53-3.67
La: 0.0000 0.2905 0.0000 [4 per cell]  7 La 3.48-3.65, 2 Tm 3.77, 2 Pm 3.78
Pm: 0.0000 0.5000 0.2022 [4 per cell]  10 La 3.53-3.78
Tm: 0.0000 0.5000 0.5000 [2 per cell]  4 La 3.33

Values from the calculation:
The calculation puts the energy relative to the lowest polymorph listed for this composition at 0 meV per atom.

No. 19
DFT (GGA-PBE) results for a relaxed structure of Y2TmHfN4.

Cell lengths 5.8458, 3.3698, 5.8628 Å; angles 90.00, 109.21, 90.00 degrees
With the nearest neighbours (Å) after each atom.
Space group P2/m (No. 10)
Symmetry-distinct sites (fractional):
Y: 0.0000 0.0000 0.0000 [1 per cell]  6 N 2.48-2.49
Y: 0.5000 0.5000 0.0000 [1 per cell]  6 N 2.41
Tm: 0.0000 0.5000 0.5000 [1 per cell]  6 N 2.37
Hf: 0.5000 0.0000 0.5000 [1 per cell]  6 N 2.29-2.31
N: 0.2566 0.0000 0.7357 [2 per cell]  1 Hf 2.29, 2 Tm 2.37, 3 Y 2.41-2.49
N: 0.2659 0.5000 0.2697 [2 per cell]  2 Hf 2.31, 1 Tm 2.37, 3 Y 2.41-2.48

Values from the calculation:
The calculation puts the uncorrected formation energy at -1.784 eV/atom.

No. 20
DFT (GGA-PBE) results for a relaxed structure of NaNdBr3.

Cell lengths 7.9678, 13.8198, 6.9337 Å; angles 90.00, 90.00, 90.00 degrees
With the nearest neighbours (Å) after each atom.
Space group Cmcm (No. 63)
Symmetry-distinct sites (fractional):
Na: 0.0000 0.1670 0.2500 [4 per cell]  12 Br 3.99-4.10
Nd: 0.0000 0.5000 0.0000 [4 per cell]  6 Br 2.96-2.97
Br: 0.0000 0.3260 0.7500 [4 per cell]  2 Nd 2.96
Br: 0.2382 0.0871 0.7500 [8 per cell]  2 Nd 2.97

Values from the calculation:
The calculation puts the uncorrected formation energy at -1.441 eV/atom.

No. 21
DFT (GGA-PBE) results for a relaxed structure of Sr2Bi2PdRh.

Cell lengths 6.8609, 14.7621, 6.7512 Å; angles 90.00, 90.00, 90.00 degrees
With the nearest neighbours (Å) after each atom.
Space group Ibam (No. 72)
Symmetry-distinct sites (fractional):
Sr: 0.2462 0.1506 0.0000 [8 per cell]  2 Pd 3.26, 2 Rh 3.29, 5 Bi 3.45-3.65
Bi: 0.2415 0.3977 0.0000 [8 per cell]  2 Rh 2.81, 2 Pd 2.88
Pd: 0.0000 0.0000 0.2500 [4 per cell]  4 Bi 2.88
Rh: 0.0000 0.5000 0.2500 [4 per cell]  4 Bi 2.81

No. 22
DFT (GGA-PBE) results for a relaxed structure of Pb2Cl2F.

Cell lengths 3.7023, 3.7023, 13.6359 Å; angles 90.00, 90.00, 90.00 degrees
With the nearest neighbours (Å) after each atom.
Space group P4/mmm (No. 123)
Symmetry-distinct sites (fractional):
Pb: 0.0000 0.0000 0.1765 [2 per cell]  1 F 2.41, 1 Cl 2.49
Cl: 0.0000 0.0000 0.3592 [2 per cell]  1 Pb 2.49
F: 0.0000 0.0000 0.0000 [1 per cell]  2 Pb 2.41

Values from the calculation:
The calculation puts the uncorrected formation energy at -0.690 eV/atom.

No. 23
DFT (GGA-PBE) results for a relaxed structure of Tl2Te4Au.

Cell lengths 9.9281, 9.9385, 10.6975 Å; angles 90.00, 90.00, 90.00 degrees
With the nearest neighbours (Å) after each atom.
Space group Fmmm (No. 69)
Symmetry-distinct sites (fractional):
Tl: 0.2500 0.2500 0.2500 [8 per cell]  8 Te 3.66
Te: 0.0000 0.2245 0.0000 [8 per cell]  1 Au 2.74
Te: 0.2243 0.0000 0.0000 [8 per cell]  1 Au 2.74
Au: 0.0000 0.0000 0.5000 [4 per cell]  4 Te 2.74

Values from the calculation:
The calculation puts the uncorrected formation energy at -0.047 eV/atom.

No. 24
DFT (GGA-PBE) results for a relaxed structure of Ba2AlPdI.

Cell lengths 6.3493, 6.3493, 4.7704 Å; angles 90.00, 90.00, 90.00 degrees
With the nearest neighbours (Å) after each atom.
Space group P4/mmm (No. 123)
Symmetry-distinct sites (fractional):
Ba: 0.0000 0.5000 0.0000 [2 per cell]  2 Pd 3.17
Al: 0.0000 0.0000 0.5000 [1 per cell]  2 Pd 2.39
Pd: 0.0000 0.0000 0.0000 [1 per cell]  2 Al 2.39
I: 0.5000 0.5000 0.5000 [1 per cell]  8 Ba 3.97

Values from the calculation:
The calculation puts the uncorrected formation energy at -0.744 eV/atom.

Result set for VASP energy: -7.767; -7.813; -6.110; -4.455; -5.915; -2.154; -8.457; -5.721; -4.357; -5.819; -8.937; -4.663; -2.772; -2.130; -4.339; -5.990; -3.864; -4.753; -9.366; -3.662; -4.527; -3.287; -2.986; -3.611 eV/atom, one per record in the order listed.
Result set for M_tot: 0.63; 16.13; 2.42; 0.00; 0.00; 0.00; 13.97; 0.00; 0.79; 0.00; 0.00; 0.00; 0.00; 0.00; 0.00; 4.00; 0.00; 0.00; 0.00; 0.09; 0.00; 0.00; 0.00; 0.00 μB per formula unit, one per record in the order listed.